[1]
First-principles (GGA-PBE) data for crystalline HoSnTeO6 at its relaxed geometry, as listed in the Alexandria database.

Cell and atoms, written as CIF:
```
data_HoSnTeO6
_chemical_formula_sum 'Ho2 Sn2 Te2 O12'
_cell_length_a 5.5228
_cell_length_b 5.5228
_cell_length_c 9.0733
_cell_angle_alpha 90.00
_cell_angle_beta 90.00
_cell_angle_gamma 120.00
_space_group_name_H-M_alt 'P 1'
_space_group_IT_number 1
_space_group_name_Hall 'P 1'
loop_
_atom_site_label
_atom_site_fract_x
_atom_site_fract_y
_atom_site_fract_z
O1 0.6550 0.6838 0.6264
O2 0.0288 0.3450 0.6264
O3 0.3450 0.0288 0.1264
O4 0.6550 0.9712 0.8736
O5 0.3162 0.3450 0.8736
O6 0.3162 0.9712 0.6264
O7 0.9712 0.6550 0.3736
O8 0.9712 0.3162 0.1264
O9 0.6838 0.6550 0.1264
O10 0.3450 0.3162 0.3736
O11 0.6838 0.0288 0.3736
O12 0.0288 0.6838 0.8736
Ho1 0.6667 0.3333 0.7500
Ho2 0.3333 0.6667 0.2500
Sn1 0.0000 0.0000 0.5000
Sn2 0.0000 0.0000 0.0000
Te1 0.6667 0.3333 0.2500
Te2 0.3333 0.6667 0.7500
```

- magnetic moment (μB/cell) = 0.000
- space group = P-31c (163)

=====

[2]
First-principles (GGA-PBE) data for crystalline RuS at its relaxed geometry, as listed in the Alexandria database.

Cell and atoms, written as CIF:
```
data_RuS
_chemical_formula_sum 'Ru8 S8'
_cell_length_a 7.2971
_cell_length_b 5.4725
_cell_length_c 7.3349
_cell_angle_alpha 90.00
_cell_angle_beta 90.00
_cell_angle_gamma 90.00
_space_group_name_H-M_alt 'P 1'
_space_group_IT_number 1
_space_group_name_Hall 'P 1'
loop_
_atom_site_label
_atom_site_fract_x
_atom_site_fract_y
_atom_site_fract_z
Ru1 0.8779 0.0222 0.2023
Ru2 0.3276 0.1605 0.5034
Ru3 0.8276 0.3395 0.4966
Ru4 0.6221 0.9778 0.7023
Ru5 0.3779 0.4778 0.7977
Ru6 0.1724 0.8395 0.0034
Ru7 0.1221 0.5222 0.2977
Ru8 0.6724 0.6605 0.9966
S1 0.6618 0.5615 0.6908
S2 0.8795 0.9375 0.8942
S3 0.8382 0.4385 0.1908
S4 0.3795 0.5625 0.1058
S5 0.3382 0.0615 0.8092
S6 0.1618 0.9385 0.3092
S7 0.1205 0.4375 0.6058
S8 0.6205 0.0625 0.3942
```

- magnetic moment (μB/cell) = 0.000
- space group = P2_12_12_1 (19)

=====

[3]
First-principles (GGA-PBE) data for crystalline Li2IrAuN at its relaxed geometry, as listed in the Alexandria database.

Cell and atoms, written as CIF:
```
data_Li2IrAuN
_chemical_formula_sum 'Li2 Ir1 Au1 N1'
_cell_length_a 4.1624
_cell_length_b 4.1624
_cell_length_c 3.7681
_cell_angle_alpha 90.00
_cell_angle_beta 90.00
_cell_angle_gamma 90.00
_space_group_name_H-M_alt 'P 1'
_space_group_IT_number 1
_space_group_name_Hall 'P 1'
loop_
_atom_site_label
_atom_site_fract_x
_atom_site_fract_y
_atom_site_fract_z
Au1 0.5000 0.5000 0.5000
Ir1 0.0000 0.0000 0.5000
N1 0.0000 0.0000 0.0000
Li1 0.5000 0.0000 0.0000
Li2 0.0000 0.5000 0.0000
```

- magnetic moment (μB/cell) = 0.000
- space group = P4/mmm (123)

=====

[4]
First-principles (GGA-PBE) data for crystalline SmDy2CdO at its relaxed geometry, as listed in the Alexandria database.

Cell and atoms, written as CIF:
```
data_SmDy2CdO
_chemical_formula_sum 'Sm1 Dy2 Cd1 O1'
_cell_length_a 4.9060
_cell_length_b 4.7913
_cell_length_c 4.7913
_cell_angle_alpha 90.00
_cell_angle_beta 90.00
_cell_angle_gamma 90.00
_space_group_name_H-M_alt 'P 1'
_space_group_IT_number 1
_space_group_name_Hall 'P 1'
loop_
_atom_site_label
_atom_site_fract_x
_atom_site_fract_y
_atom_site_fract_z
Dy1 0.0000 0.5000 0.0000
Dy2 0.0000 0.0000 0.5000
Sm1 0.5000 0.0000 0.0000
O1 0.0000 0.0000 0.0000
Cd1 0.5000 0.5000 0.5000
```

- magnetic moment (μB/cell) = 0.000
- space group = P4/mmm (123)

=====

VASP energy (computed, eV for the cell shown): -114.37, -109.15, -26.05, -26.36
ΔE_f (raw) (computed, eV per atom): -1.746, -0.120, -0.352, -1.313
DOS at the Fermi energy (computed, states/eV/f.u.): 2.73, 1.14, 1.21, 2.49